(1)
Below is crystalline DyYZnRu at its relaxed geometry, with properties calculated at the PBE level.

Results
- Fermi-level density of states: 3.17 states/eV per cell
- SG: F-43m (216)
- Calculated formation energy: -34 kJ/mol of atoms
- Total magnetic moment: 0.000 μB per atom

a = 4.922 Å, b = 4.922 Å, c = 4.922 Å
α = 60.00°, β = 60.00°, γ = 60.00°
Fractional coordinates of all 4 atoms:
Dy 0.000 0.000 0.000
Y 0.500 0.500 0.500
Zn 0.250 0.250 0.250
Ru 0.750 0.750 0.750



(2)
Below is crystalline KTa2Cd at its relaxed geometry, with properties calculated at the PBE level.

Results
- Fermi-level density of states: 4.67 states/eV per cell
- SG: P4/mmm (123)
- Calculated formation energy: 118 kJ/mol of atoms
- Total magnetic moment: 0.000 μB per atom

a = 3.788 Å, b = 3.788 Å, c = 7.954 Å
α = 90.00°, β = 90.00°, γ = 90.00°
Fractional coordinates of all 4 atoms:
K 0.000 0.000 0.000
Ta 0.500 0.500 0.353
Ta 0.500 0.500 0.647
Cd 0.000 0.000 0.500



(3)
Below is crystalline Dy4Tm6Sc at its relaxed geometry, with properties calculated at the PBE level.

Results
- Fermi-level density of states: 12.54 states/eV per cell
- ΔE to the lowest computed polymorph: 15.1 kJ per mole of atoms
- SG: I-42m (121)
- Calculated formation energy: 28 kJ/mol of atoms
- Total magnetic moment: 0.000 μB per atom

a = 9.573 Å, b = 9.573 Å, c = 9.573 Å
α = 140.78°, β = 140.78°, γ = 56.67°
Fractional coordinates of all 11 atoms:
Dy 0.186 0.186 0.641
Dy 0.455 0.814 0.000
Dy 0.545 0.545 0.359
Dy 0.814 0.455 0.000
Tm 0.000 0.500 0.500
Tm 0.016 0.647 0.000
Tm 0.353 0.353 0.369
Tm 0.500 0.000 0.500
Tm 0.647 0.016 0.000
Tm 0.984 0.984 0.631
Sc 0.000 0.000 0.000